A relaxed structure of Ta2MoPb. Source: the Alexandria database, functional GGA-PBE.

Its formation energy is 3.97 eV/f.u.

Structure (POSCAR):
```
Ta2MoPb
1.0
-0.0084 -2.4099 -3.2465
3.1858 -2.0029 1.4785
-4.6054 -8.5634 3.8509
Mo Ta Pb
2 4 2
direct
0.5000 0.5000 0.0000
0.2500 0.7500 0.5000
0.1267 0.6250 0.2500
0.3750 0.3767 0.7500
0.6233 0.1250 0.2500
0.8750 0.8733 0.7500
0.7500 0.2500 0.5000
0.0000 0.0000 0.0000
```